(1)
Density functional theory data (PBE) for a geometry-optimized CaTbRh2 structure.

CIF file:
```
data_CaTbRh2
_chemical_formula_sum 'Ca4 Tb4 Rh8'
_space_group_name_H-M_alt 'F m -3 m'
_space_group_IT_number 225
_space_group_name_Hall '-F 4 2 3'
_cell_length_a 6.8446
_cell_length_b 6.8446
_cell_length_c 6.8446
_cell_angle_alpha 90.00
_cell_angle_beta 90.00
_cell_angle_gamma 90.00
loop_
_atom_site_label
_atom_site_fract_x
_atom_site_fract_y
_atom_site_fract_z
Ca1 0.0000 0.0000 0.0000
Tb1 0.0000 0.0000 0.5000
Rh1 0.2500 0.2500 0.2500
```

Results
* total energy: -95.2 eV for the cell shown
* density of states at the Fermi level: 0.468 states/eV/atom
* calculated volume: 320.7 Å³ per cell
* energy relative to the elements: -0.61 eV/atom
* total moment: 0.00 μB/atom

=====

(2)
Density functional theory data (PBE) for a geometry-optimized PIr2Pb structure.

CIF file:
```
data_PIr2Pb
_chemical_formula_sum 'P1 Ir2 Pb1'
_space_group_name_H-M_alt 'P m m m'
_space_group_IT_number 47
_cell_length_a 2.9782
_cell_length_b 4.5292
_cell_length_c 5.1142
_cell_angle_alpha 90.00
_cell_angle_beta 90.00
_cell_angle_gamma 90.00
loop_
_space_group_symop_operation_xyz
'x,y,z'
'-x,-y,-z'
'-x,-y,z'
'x,y,-z'
'x,-y,-z'
'-x,y,z'
'-x,y,-z'
'x,-y,z'
loop_
_atom_site_label
_atom_site_fract_x
_atom_site_fract_y
_atom_site_fract_z
P1 0.0000 0.0000 0.0000
Ir1 0.0000 0.5000 0.5000
Ir2 0.5000 0.5000 0.0000
Pb1 0.5000 0.0000 0.5000
```

Results
* total energy: -24.1 eV for the cell shown
* density of states at the Fermi level: 0.790 states/eV/atom
* calculated volume: 69.0 Å³ per cell
* energy relative to the elements: 0.68 eV/atom
* total moment: 0.00 μB/atom
* excess energy over the best structure of this formula in the dataset: 2.94 eV per formula unit

=====

(3)
Density functional theory data (PBE) for a geometry-optimized SmThIn2 structure.

CIF file:
```
data_SmThIn2
_chemical_formula_sum 'Sm3 Th3 In6'
_space_group_name_H-M_alt 'R -3 m'
_space_group_IT_number 166
_space_group_name_Hall '-R 3 2"'
_cell_length_a 3.5850
_cell_length_b 3.5850
_cell_length_c 31.9587
_cell_angle_alpha 90.00
_cell_angle_beta 90.00
_cell_angle_gamma 120.00
loop_
_atom_site_label
_atom_site_fract_x
_atom_site_fract_y
_atom_site_fract_z
Sm1 0.0000 0.0000 0.0000
Th1 0.0000 0.0000 0.5000
In1 0.0000 0.0000 0.2518
```

Results
* total energy: -55.3 eV for the cell shown
* density of states at the Fermi level: 1.319 states/eV/atom
* calculated volume: 355.7 Å³ per cell
* energy relative to the elements: -0.20 eV/atom
* total moment: 0.00 μB/atom

=====

(4)
Density functional theory data (PBE) for a geometry-optimized La2Tb3Co2 structure.

CIF file:
```
data_La2Tb3Co2
_chemical_formula_sum 'La4 Tb6 Co4'
_space_group_name_H-M_alt 'C 1 2/m 1'
_space_group_IT_number 12
_cell_length_a 12.2607
_cell_length_b 3.7014
_cell_length_c 9.1330
_cell_angle_alpha 90.00
_cell_angle_beta 115.25
_cell_angle_gamma 90.00
loop_
_space_group_symop_operation_xyz
'x,y,z'
'-x,-y,-z'
'-x,y,-z'
'x,-y,z'
'x+1/2,y+1/2,z'
'-x+1/2,-y+1/2,-z'
'-x+1/2,y+1/2,-z'
'x+1/2,-y+1/2,z'
loop_
_atom_site_label
_atom_site_fract_x
_atom_site_fract_y
_atom_site_fract_z
La1 0.1746 0.0000 0.2990
Tb1 0.0000 0.5000 0.5000
Tb2 0.1189 0.5000 0.9177
Co1 0.1834 0.0000 0.7450
```

Results
* total energy: -77.9 eV for the cell shown
* density of states at the Fermi level: 1.026 states/eV/atom
* calculated volume: 374.9 Å³ per cell
* energy relative to the elements: -0.14 eV/atom
* total moment: 0.00 μB/atom

=====

(5)
Density functional theory data (PBE) for a geometry-optimized ZnGa2Ag structure.

CIF file:
```
data_ZnGa2Ag
_chemical_formula_sum 'Zn2 Ga4 Ag2'
_space_group_name_H-M_alt 'P m n a'
_space_group_IT_number 53
_cell_length_a 9.2647
_cell_length_b 4.7298
_cell_length_c 3.2299
_cell_angle_alpha 90.00
_cell_angle_beta 90.00
_cell_angle_gamma 90.00
loop_
_space_group_symop_operation_xyz
'x,y,z'
'-x,-y,-z'
'-x+1/2,-y,z+1/2'
'x+1/2,y,-z+1/2'
'x,-y,-z'
'-x,y,z'
'-x+1/2,y,-z+1/2'
'x+1/2,-y,z+1/2'
loop_
_atom_site_label
_atom_site_fract_x
_atom_site_fract_y
_atom_site_fract_z
Zn1 0.0000 0.0000 0.0000
Ga1 0.2500 0.2459 0.2500
Ag1 0.0000 0.5000 0.5000
```

Results
* total energy: -20.1 eV for the cell shown
* density of states at the Fermi level: 0.335 states/eV/atom
* calculated volume: 141.5 Å³ per cell
* energy relative to the elements: 0.03 eV/atom
* total moment: 0.00 μB/atom

=====

(6)
Density functional theory data (PBE) for a geometry-optimized Rb2TiPbCl6 structure.

CIF file:
```
data_Rb2TiPbCl6
_chemical_formula_sum 'Rb8 Ti4 Pb4 Cl24'
_space_group_name_H-M_alt 'F m -3 m'
_space_group_IT_number 225
_space_group_name_Hall '-F 4 2 3'
_cell_length_a 10.7629
_cell_length_b 10.7629
_cell_length_c 10.7629
_cell_angle_alpha 90.00
_cell_angle_beta 90.00
_cell_angle_gamma 90.00
loop_
_atom_site_label
_atom_site_fract_x
_atom_site_fract_y
_atom_site_fract_z
Rb1 0.2500 0.2500 0.2500
Ti1 0.0000 0.0000 0.0000
Pb1 0.0000 0.0000 0.5000
Cl1 0.0000 0.0000 0.2341
```

Results
* total energy: -159.2 eV for the cell shown
* density of states at the Fermi level: 1.229 states/eV/atom
* calculated volume: 1246.8 Å³ per cell
* formation energy from raw total energies: -1518 meV per atom
* total moment: 0.20 μB/atom

=====

(7)
Density functional theory data (PBE) for a geometry-optimized BiPtNCl2 structure.

CIF file:
```
data_BiPtNCl2
_chemical_formula_sum 'Bi1 Pt1 N1 Cl2'
_space_group_name_H-M_alt 'P 4/m m m'
_space_group_IT_number 123
_space_group_name_Hall '-P 4 2'
_cell_length_a 5.5411
_cell_length_b 5.5411
_cell_length_c 3.6445
_cell_angle_alpha 90.00
_cell_angle_beta 90.00
_cell_angle_gamma 90.00
loop_
_atom_site_label
_atom_site_fract_x
_atom_site_fract_y
_atom_site_fract_z
Bi1 0.0000 0.0000 0.0000
Pt1 0.5000 0.5000 0.0000
N1 0.5000 0.5000 0.5000
Cl1 0.0000 0.5000 0.5000
```

Results
* total energy: -19.2 eV for the cell shown
* density of states at the Fermi level: 1.226 states/eV/atom
* calculated volume: 111.9 Å³ per cell
* formation energy from raw total energies: 545 meV per atom
* total moment: 0.00 μB/atom

=====

(8)
Density functional theory data (PBE) for a geometry-optimized Y2FeN3 structure.

CIF file:
```
data_Y2FeN3
_chemical_formula_sum 'Y16 Fe8 N24'
_space_group_name_H-M_alt 'C 1 2/c 1'
_space_group_IT_number 15
_cell_length_a 5.0723
_cell_length_b 10.5896
_cell_length_c 11.3706
_cell_angle_alpha 90.00
_cell_angle_beta 93.62
_cell_angle_gamma 90.00
loop_
_space_group_symop_operation_xyz
'x,y,z'
'-x,-y,-z'
'-x,y,-z+1/2'
'x,-y,z+1/2'
'x+1/2,y+1/2,z'
'-x+1/2,-y+1/2,-z'
'-x+1/2,y+1/2,-z+1/2'
'x+1/2,-y+1/2,z+1/2'
loop_
_atom_site_label
_atom_site_fract_x
_atom_site_fract_y
_atom_site_fract_z
Y1 0.2328 0.2071 0.3526
Y2 0.2407 0.1045 0.9363
Fe1 0.2146 0.4962 0.8240
N1 0.0000 0.0032 0.2500
N2 0.0000 0.3845 0.2500
N3 0.2081 0.3162 0.8680
N4 0.2439 0.0988 0.5332
```

Results
* total energy: -421.8 eV for the cell shown
* density of states at the Fermi level: 0.484 states/eV/atom
* calculated volume: 609.5 Å³ per cell
* formation energy from raw total energies: -1059 meV per atom
* total moment: 0.14 μB/atom

=====

What did the second record say?
Density functional theory data (PBE) for a geometry-optimized PIr2Pb structure.

CIF file:
```
data_PIr2Pb
_chemical_formula_sum 'P1 Ir2 Pb1'
_space_group_name_H-M_alt 'P m m m'
_space_group_IT_number 47
_cell_length_a 2.9782
_cell_length_b 4.5292
_cell_length_c 5.1142
_cell_angle_alpha 90.00
_cell_angle_beta 90.00
_cell_angle_gamma 90.00
loop_
_space_group_symop_operation_xyz
'x,y,z'
'-x,-y,-z'
'-x,-y,z'
'x,y,-z'
'x,-y,-z'
'-x,y,z'
'-x,y,-z'
'x,-y,z'
loop_
_atom_site_label
_atom_site_fract_x
_atom_site_fract_y
_atom_site_fract_z
P1 0.0000 0.0000 0.0000
Ir1 0.0000 0.5000 0.5000
Ir2 0.5000 0.5000 0.0000
Pb1 0.5000 0.0000 0.5000
```

Results
* total energy: -24.1 eV for the cell shown
* density of states at the Fermi level: 0.790 states/eV/atom
* calculated volume: 69.0 Å³ per cell
* energy relative to the elements: 0.68 eV/atom
* total moment: 0.00 μB/atom
* excess energy over the best structure of this formula in the dataset: 2.94 eV per formula unit

=====

Question: Which formula does entry 5 have?
Answer: ZnGa2Ag